Material: CaMg3Ti
Method: DFT, GGA-PBE
State: relaxed

Energy (eV/cell): -11.7
ΔE_f (eV/atom): 0.60
Offset from the most stable computed form (meV per atom): 0
Magnetization (μB per cell): 3.50
Fermi-level density of states (states/eV/cell): 5.8

Structure (CIF):
```
data_CaMg3Ti
_symmetry_space_group_name_H-M 'P 1'
_symmetry_Int_Tables_number 1
_cell_length_a 5.3730
_cell_length_b 5.3730
_cell_length_c 5.3730
_cell_angle_alpha 90.00
_cell_angle_beta 90.00
_cell_angle_gamma 90.00
loop_
_symmetry_equiv_pos_as_xyz
'x,y,z'
loop_
_atom_site_label
_atom_site_type_symbol
_atom_site_fract_x
_atom_site_fract_y
_atom_site_fract_z
_atom_site_occupancy
Ca1 Ca 0.0000 0.0000 0.0000 1
Mg1 Mg 0.0000 0.5000 0.5000 1
Mg2 Mg 0.5000 0.0000 0.5000 1
Mg3 Mg 0.5000 0.5000 0.0000 1
Ti1 Ti 0.5000 0.5000 0.5000 1
```